No. 1
# MgMn2Fe

A relaxed structure of MgMn2Fe (GGA-PBE, Alexandria via LeMat-Bulk).

CIF file:
```
data_MgMn2Fe
_chemical_formula_sum 'Mg1 Mn2 Fe1'
_space_group_name_H-M_alt 'P m m 2'
_space_group_IT_number 25
_space_group_name_Hall 'P 2 -2'
_cell_length_a 2.668
_cell_length_b 3.573
_cell_length_c 5.592
_cell_angle_alpha 90.00
_cell_angle_beta 90.00
_cell_angle_gamma 90.00
loop_
_atom_site_label
_atom_site_type_symbol
_atom_site_fract_x
_atom_site_fract_y
_atom_site_fract_z
Mg1 Mg 0.000 0.000 0.000
Mn1 Mn 0.000 0.000 0.504
Mn2 Mn 0.500 0.500 0.292
Fe1 Fe 0.500 0.500 0.728
```

For the formation energy from the elements, the calculation gives 251 meV/atom. The calculation puts the energy at -0.2516 Ha/atom. As for the volume: 53.31 Å³/cell. As for the density of states at the Fermi level: 3.6 states/eV/f.u.


No. 2
# MgMnFe2

A relaxed structure of MgMnFe2 (GGA-PBE, Alexandria via LeMat-Bulk).

CIF file:
```
data_MgMnFe2
_chemical_formula_sum 'Mg2 Mn2 Fe4'
_space_group_name_H-M_alt 'C 1 m 1'
_space_group_IT_number 8
_space_group_name_Hall 'C -2y'
_cell_length_a 8.725
_cell_length_b 2.643
_cell_length_c 4.813
_cell_angle_alpha 90.00
_cell_angle_beta 97.40
_cell_angle_gamma 90.00
loop_
_atom_site_label
_atom_site_type_symbol
_atom_site_fract_x
_atom_site_fract_y
_atom_site_fract_z
Mg1 Mg 0.000 0.000 0.000
Mn1 Mn 0.256 0.500 0.270
Fe1 Fe 0.001 0.500 0.507
Fe2 Fe 0.247 0.000 0.735
```

For the formation energy from the elements, the calculation gives 292 meV/atom. The calculation puts the energy at -0.2437 Ha/atom. As for the volume: 110.04 Å³/cell. As for the density of states at the Fermi level: 3.4 states/eV/f.u.


No. 3
# MgMn2Fe

A relaxed structure of MgMn2Fe (GGA-PBE, Alexandria via LeMat-Bulk).

CIF file:
```
data_MgMn2Fe
_chemical_formula_sum 'Mg1 Mn2 Fe1'
_space_group_name_H-M_alt 'P 4/m m m'
_space_group_IT_number 123
_space_group_name_Hall '-P 4 2'
_cell_length_a 2.639
_cell_length_b 2.639
_cell_length_c 7.632
_cell_angle_alpha 90.00
_cell_angle_beta 90.00
_cell_angle_gamma 90.00
loop_
_atom_site_label
_atom_site_type_symbol
_atom_site_fract_x
_atom_site_fract_y
_atom_site_fract_z
Mg1 Mg 0.000 0.000 0.000
Mn1 Mn 0.500 0.500 0.286
Fe1 Fe 0.000 0.000 0.500
```

For the formation energy from the elements, the calculation gives 276 meV/atom. The calculation puts the energy at -0.2508 Ha/atom. As for the volume: 53.16 Å³/cell. As for the density of states at the Fermi level: 5.2 states/eV/f.u.


No. 4
# MgMnFe2

A relaxed structure of MgMnFe2 (GGA-PBE, Alexandria via LeMat-Bulk).

CIF file:
```
data_MgMnFe2
_chemical_formula_sum 'Mg1 Mn1 Fe2'
_space_group_name_H-M_alt 'P 4/m m m'
_space_group_IT_number 123
_space_group_name_Hall '-P 4 2'
_cell_length_a 4.229
_cell_length_b 4.229
_cell_length_c 2.892
_cell_angle_alpha 90.00
_cell_angle_beta 90.00
_cell_angle_gamma 90.00
loop_
_atom_site_label
_atom_site_type_symbol
_atom_site_fract_x
_atom_site_fract_y
_atom_site_fract_z
Mg1 Mg 0.000 0.000 0.000
Mn1 Mn 0.500 0.500 0.000
Fe1 Fe 0.000 0.500 0.500
```

For the formation energy from the elements, the calculation gives 335 meV/atom. The calculation puts the energy at -0.2421 Ha/atom. As for the volume: 51.71 Å³/cell. As for the density of states at the Fermi level: 4.1 states/eV/f.u.


No. 5
# MgMn2Fe

A relaxed structure of MgMn2Fe (GGA-PBE, Alexandria via LeMat-Bulk).

CIF file:
```
data_MgMn2Fe
_chemical_formula_sum 'Mg2 Mn4 Fe2'
_space_group_name_H-M_alt 'C m m m'
_space_group_IT_number 65
_space_group_name_Hall '-C 2 2'
_cell_length_a 5.814
_cell_length_b 5.822
_cell_length_c 3.096
_cell_angle_alpha 90.00
_cell_angle_beta 90.00
_cell_angle_gamma 90.00
loop_
_atom_site_label
_atom_site_type_symbol
_atom_site_fract_x
_atom_site_fract_y
_atom_site_fract_z
Mg1 Mg 0.000 0.000 0.000
Mn1 Mn 0.250 0.250 0.500
Fe1 Fe 0.000 0.500 0.000
```

For the formation energy from the elements, the calculation gives 356 meV/atom. The calculation puts the energy at -0.2478 Ha/atom. As for the volume: 104.81 Å³/cell. As for the density of states at the Fermi level: 4.2 states/eV/f.u.


No. 6
# MgMnFe

A relaxed structure of MgMnFe (GGA-PBE, Alexandria via LeMat-Bulk).

CIF file:
```
data_MgMnFe
_chemical_formula_sum 'Mg1 Mn1 Fe1'
_space_group_name_H-M_alt 'P -6 m 2'
_space_group_IT_number 187
_space_group_name_Hall 'P -6 2'
_cell_length_a 4.2521
_cell_length_b 4.2521
_cell_length_c 2.6495
_cell_angle_alpha 90.00
_cell_angle_beta 90.00
_cell_angle_gamma 120.00
loop_
_atom_site_label
_atom_site_type_symbol
_atom_site_fract_x
_atom_site_fract_y
_atom_site_fract_z
Mg1 Mg 0.0000 0.0000 0.0000
Mn1 Mn 0.6667 0.3333 0.5000
Fe1 Fe 0.3333 0.6667 0.5000
```

The relative energy among the computed polymorphs comes out at 64 meV per atom. For the formation energy from the elements, the calculation gives 301 meV/atom. The calculation puts the energy at -0.2244 Ha/atom. As for the volume: 41.49 Å³/cell. As for the density of states at the Fermi level: 1.7 states/eV/f.u.